Record 1
# Dy4GaAg

Dy4GaAg after structural relaxation (PBE, the Alexandria database).

It has space group Cmc2_1 (No. 36), with a = 5.0882 Å, b = 21.8744 Å, c = 6.3108 Å, α = 90.00°, β = 90.00° and γ = 90.00°. Symmetry generates all atoms from Dy at (0.0000, 0.0639, 0.0000), Dy at (0.0000, 0.1911, 0.2955), Dy at (0.0000, 0.2160, 0.8132), Dy at (0.0000, 0.3749, 0.0785), Ga at (0.0000, 0.3401, 0.5519) and Ag at (0.0000, 0.0688, 0.5071).

The calculation puts the formation energy at -0.0821 eV per atom. For the uncorrected energy, the calculation gives -99.12 eV/cell. As for the density of states at the Fermi level: 25.12 states/eV/cell.

=====

Record 2
# DyGaAg

DyGaAg after structural relaxation (PBE, the Alexandria database).

It has space group C2/m (No. 12), with a = 10.4986 Å, b = 4.5579 Å, c = 7.1804 Å, α = 90.00°, β = 131.91° and γ = 90.00°. Symmetry generates all atoms from Dy at (0.0346, 0.0000, 0.2905), Ga at (0.1586, 0.5000, 0.1176) and Ag at (0.1732, 0.5000, 0.7214).

The calculation puts the formation energy at -0.4795 eV per atom. For the uncorrected energy, the calculation gives -47.68 eV/cell. As for the density of states at the Fermi level: 7.38 states/eV/cell.

=====

Record 3
# DyGa5Ag

DyGa5Ag after structural relaxation (PBE, the Alexandria database).

It has space group P4/mmm (No. 123), with a = 4.4644 Å, b = 4.4644 Å, c = 6.9877 Å, α = 90.00°, β = 90.00° and γ = 90.00°. Symmetry generates all atoms from Dy at (0.0000, 0.0000, 0.0000), Ga at (0.0000, 0.5000, 0.2866), Ga at (0.5000, 0.5000, 0.0000) and Ag at (0.0000, 0.0000, 0.5000).

The calculation puts the formation energy at -0.2630 eV per atom. For the uncorrected energy, the calculation gives -24.43 eV/cell. As for the density of states at the Fermi level: 2.15 states/eV/cell.